Entry 1:
{
  "formula": "Ba2LiNiP2",
  "functional": "PBE-GGA",
  "state": "relaxed",
  "space_group": "Ibam, No. 72",
  "lattice_angstrom": [[6.169, 0.000, 0.000], [0.000, 6.132, 0.000], [-3.085, -3.066, 7.401]],
  "species": ["Ba", "Ba", "Ba", "Ba", "Li", "Li", "Ni", "Ni", "P", "P", "P", "P"],
  "fractional_positions": [[0.401, 0.156, 0.313], [0.599, 0.844, 0.687], [0.089, 0.344, 0.687], [0.911, 0.656, 0.313], [0.000, 0.750, 0.000], [0.000, 0.250, 0.000], [0.500, 0.750, 0.000], [0.500, 0.250, 0.000], [0.807, 0.083, 0.165], [0.358, 0.583, 0.165], [0.642, 0.417, 0.835], [0.193, 0.917, 0.835]]
}

***

Entry 2:
{
  "formula": "BaLi2NiP",
  "functional": "PBE-GGA",
  "state": "relaxed",
  "space_group": "P4/mmm, No. 123",
  "lattice_angstrom": [[-1.392, -4.634, 0.471], [4.573, -1.267, 1.054], [-0.780, 0.659, 4.176]],
  "species": ["Ni", "Li", "Li", "Ba", "P"],
  "fractional_positions": [[0.000, 0.000, 0.000], [0.000, 0.500, 0.000], [0.500, 0.000, 0.000], [0.500, 0.500, 0.500], [0.000, 0.000, 0.500]]
}

***

D(E_F)? In order: 11.88 2.27 states/eV per cell.
Formation enthalpy at 0 K? In order: -69.6 -35.0 kJ/mol of atoms.
Mass density? In order: 4.77 3.94 g/cm³.